## K2RbBaPt (PBE)

Data for crystalline K2RbBaPt at its relaxed geometry.

```
data_K2RbBaPt
_chemical_formula_sum 'K2 Rb1 Ba1 Pt1'
_space_group_name_H-M_alt 'P 4/m m m'
_space_group_IT_number 123
_space_group_name_Hall '-P 4 2'
_cell_length_a 6.693
_cell_length_b 6.693
_cell_length_c 6.083
_cell_angle_alpha 90.00
_cell_angle_beta 90.00
_cell_angle_gamma 90.00
loop_
_atom_site_label
_atom_site_type_symbol
_atom_site_fract_x
_atom_site_fract_y
_atom_site_fract_z
_atom_site_occupancy
K1 K 0.000 0.500 0.000 1
Rb1 Rb 0.000 0.000 0.500 1
Ba1 Ba 0.500 0.500 0.500 1
Pt1 Pt 0.500 0.500 0.000 1
```

magnetic moment = 0.660 Bohr magnetons per cell
ΔE_f = -86 meV per atom